No. 1
# Rb3Cd4Ag4

An optimized crystal structure of Rb3Cd4Ag4 (PBE, the Alexandria database).

```
Rb3Cd4Ag4
1.0
7.665 0.000 0.000
-2.555 7.226 0.000
-2.555 -3.613 6.258
Cd Rb Ag
4 3 4
Direct
0.000 0.601 0.000 Cd
0.000 0.000 0.601 Cd
0.399 0.399 0.399 Cd
0.601 0.000 0.000 Cd
0.000 0.500 0.500 Rb
0.500 0.000 0.500 Rb
0.500 0.500 0.000 Rb
0.000 0.000 0.236 Ag
0.236 0.000 0.000 Ag
0.000 0.236 0.000 Ag
0.764 0.764 0.764 Ag
```

Crystal system: cubic
Formation energy from the elements, eV per atom: -0.025
Space-group type: I-43m
E, eV per cell: -18.2

No. 2
# Dy2YThSe4

An optimized crystal structure of Dy2YThSe4 (PBE, the Alexandria database).

```
Dy2YThSe4
1.0
4.070 0.000 0.000
0.000 7.146 -0.169
0.000 2.490 6.710
Th Se Dy Y
1 4 2 1
Direct
0.500 0.500 0.000 Th
0.000 0.760 0.741 Se
0.000 0.240 0.259 Se
0.500 0.755 0.254 Se
0.500 0.245 0.746 Se
0.500 0.000 0.500 Dy
0.000 0.000 0.000 Dy
0.000 0.500 0.500 Y
```

Crystal system: monoclinic
Space-group type: P2/m
E, eV per cell: -50.5